Record 1
# La2ReCl

An optimized crystal structure of La2ReCl (PBE, the Alexandria database).

Cell: 8.427 8.427 8.427 Å, 153.69 155.60 36.19°
Element x y z (fractional)
Cl  0.299  0.799  0.500
La  0.964  0.964  0.000
La  0.679  0.179  0.500
Re  0.558  0.558  0.000

Summary:
Space group ... Imm2

Record 2
# La2ReCl

An optimized crystal structure of La2ReCl (PBE, the Alexandria database).

Cell: 4.328 4.328 8.492 Å, 72.90 72.90 50.41°
Element x y z (fractional)
Re  0.750  0.750  0.750
La  0.965  0.965  0.955
Cl  0.250  0.250  0.250
La  0.535  0.535  0.545

Summary:
Space group ... C2/m

Record 3
# La2ReCl

An optimized crystal structure of La2ReCl (PBE, the Alexandria database).

Cell: 5.893 5.893 4.936 Å, 89.99 89.99 35.77°
Element x y z (fractional)
Cl  0.258  0.258  0.125
La  0.733  0.733  0.625
Re  0.512  0.512  0.625
La  0.997  0.997  0.125

Summary:
Space group ... Amm2

Going through the records in order, we get volume values of 27.36 28.97 25.05 Å³ per atom.
Going through the records in order, we get offset from the most stable computed form values of 0.60 0.51 0.60 eV per formula unit.